# HgGeRh2

A relaxed HgGeRh2 crystal (GGA-PBE, Alexandria).

Cell and atoms, written as CIF:
```
data_HgGeRh2
_chemical_formula_sum 'Hg2 Ge2 Rh4'
_cell_length_a 7.012
_cell_length_b 7.012
_cell_length_c 5.721
_cell_angle_alpha 52.21
_cell_angle_beta 52.21
_cell_angle_gamma 90.00
_space_group_name_H-M_alt 'P 1'
_space_group_IT_number 1
_space_group_name_Hall 'P 1'
loop_
_atom_site_label
_atom_site_fract_x
_atom_site_fract_y
_atom_site_fract_z
Ge1 0.500 0.500 0.000
Ge2 0.250 0.750 0.500
Hg1 0.750 0.250 0.500
Hg2 0.000 0.000 0.000
Rh1 0.579 0.125 0.250
Rh2 0.375 0.421 0.750
Rh3 0.171 0.625 0.250
Rh4 0.875 0.829 0.750
```

Values from the calculation:
Space-group type: I-42d, No. 122
Crystal system: tetragonal
Energy of formation, kcal/mol of atoms: 0.60
Relative energy among the computed polymorphs, meV/atom: 286.6